#1
First-principles (PBE) data for a relaxed structure of Bi2CS, as listed in Alexandria. Values from VASP.

Computed properties:
**Crystal system**: tetragonal
**Mass density**: 7699 kg/m³
**SG**: I-42d

Cell and atoms, written as Quantum ESPRESSO input:
```
&SYSTEM
  ibrav = 0, nat = 8, ntyp = 3
/
ATOMIC_SPECIES
C 12.01 C.upf
S 32.06 S.upf
Bi 208.98 Bi.upf
CELL_PARAMETERS angstrom
-2.3426 -0.6983 -6.2604
5.4587 -3.5583 -1.6457
-0.5059 -5.8435 -2.7664
ATOMIC_POSITIONS crystal
C 0.5000 0.5000 0.0000
C 0.2500 0.7500 0.5000
S 0.0000 0.0000 0.0000
S 0.7500 0.2500 0.5000
Bi 0.5672 0.1250 0.2500
Bi 0.1828 0.6250 0.2500
Bi 0.3750 0.4328 0.7500
Bi 0.8750 0.8172 0.7500
```

=====

#2
First-principles (PBE) data for a relaxed structure of Bi2CS, as listed in Alexandria. Values from VASP.

Computed properties:
**Crystal system**: cubic
**Mass density**: 9441 kg/m³
**SG**: Fm-3m

Cell and atoms, written as Quantum ESPRESSO input:
```
&SYSTEM
  ibrav = 0, nat = 4, ntyp = 3
/
ATOMIC_SPECIES
C 12.01 C.upf
S 32.06 S.upf
Bi 208.98 Bi.upf
CELL_PARAMETERS angstrom
0.0000 3.4379 3.4379
3.4379 0.0000 3.4379
3.4379 3.4379 0.0000
ATOMIC_POSITIONS crystal
C 0.0000 0.0000 0.0000
S 0.5000 0.5000 0.5000
Bi 0.2500 0.2500 0.2500
Bi 0.7500 0.7500 0.7500
```

=====

Short version: #1 is the most stable of them.

=====

#1
First-principles (PBE) data for a relaxed structure of BiCS2, as listed in Alexandria. Values from VASP.

Computed properties:
**Crystal system**: tetragonal
**Mass density**: 5966 kg/m³
**SG**: I-42d

Cell and atoms, written as Quantum ESPRESSO input:
```
&SYSTEM
  ibrav = 0, nat = 8, ntyp = 3
/
ATOMIC_SPECIES
C 12.01 C.upf
S 32.06 S.upf
Bi 208.98 Bi.upf
CELL_PARAMETERS angstrom
-5.2686 0.1639 2.3524
-1.9307 -3.6059 -4.0728
-2.4823 -5.4381 1.9011
ATOMIC_POSITIONS crystal
C 0.5000 0.5000 0.0000
C 0.2500 0.7500 0.5000
S 0.4767 0.1250 0.2500
S 0.2733 0.6250 0.2500
S 0.3750 0.5233 0.7500
S 0.8750 0.7267 0.7500
Bi 0.0000 0.0000 0.0000
Bi 0.7500 0.2500 0.5000
```

=====

#2
First-principles (PBE) data for a relaxed structure of BiCS2, as listed in Alexandria. Values from VASP.

Computed properties:
**Crystal system**: cubic
**Mass density**: 6511 kg/m³
**SG**: Fm-3m

Cell and atoms, written as Quantum ESPRESSO input:
```
&SYSTEM
  ibrav = 0, nat = 4, ntyp = 3
/
ATOMIC_SPECIES
C 12.01 C.upf
S 32.06 S.upf
Bi 208.98 Bi.upf
CELL_PARAMETERS angstrom
0.0000 3.3129 3.3129
3.3129 0.0000 3.3129
3.3129 3.3129 0.0000
ATOMIC_POSITIONS crystal
C 0.0000 0.0000 0.0000
S 0.2500 0.2500 0.2500
S 0.7500 0.7500 0.7500
Bi 0.5000 0.5000 0.5000
```

=====

#3
First-principles (PBE) data for a relaxed structure of BiCS2, as listed in Alexandria. Values from VASP.

Computed properties:
**Crystal system**: trigonal
**Mass density**: 6387 kg/m³
**SG**: R-3m

Cell and atoms, written as Quantum ESPRESSO input:
```
&SYSTEM
  ibrav = 0, nat = 4, ntyp = 3
/
ATOMIC_SPECIES
C 12.01 C.upf
S 32.06 S.upf
Bi 208.98 Bi.upf
CELL_PARAMETERS angstrom
1.8901 0.0000 7.9859
-0.9451 1.6369 7.9859
-0.9451 -1.6369 7.9859
ATOMIC_POSITIONS crystal
C 0.0000 0.0000 0.0000
S 0.6170 0.6170 0.6170
S 0.3830 0.3830 0.3830
Bi 0.5000 0.5000 0.5000
```

=====

Short version: #1 is the most stable of them.

=====

#1
First-principles (PBE) data for a relaxed structure of BiC3S, as listed in Alexandria. Values from VASP.

Computed properties:
**Crystal system**: cubic
**Mass density**: 8037 kg/m³
**SG**: Pm-3m

Cell and atoms, written as Quantum ESPRESSO input:
```
&SYSTEM
  ibrav = 0, nat = 5, ntyp = 3
/
ATOMIC_SPECIES
C 12.01 C.upf
S 32.06 S.upf
Bi 208.98 Bi.upf
CELL_PARAMETERS angstrom
-1.7093 -2.5104 -2.3728
-1.4882 -1.8539 3.0334
-3.1172 2.2616 -0.1471
ATOMIC_POSITIONS crystal
C 0.0000 0.5000 0.0000
C 0.0000 0.0000 0.5000
C 0.5000 0.0000 0.0000
S 0.0000 0.0000 0.0000
Bi 0.5000 0.5000 0.5000
```

=====

#2
First-principles (PBE) data for a relaxed structure of BiC3S, as listed in Alexandria. Values from VASP.

Computed properties:
**Crystal system**: cubic
**Mass density**: 4900 kg/m³
**SG**: Pm-3m

Cell and atoms, written as Quantum ESPRESSO input:
```
&SYSTEM
  ibrav = 0, nat = 5, ntyp = 3
/
ATOMIC_SPECIES
C 12.01 C.upf
S 32.06 S.upf
Bi 208.98 Bi.upf
CELL_PARAMETERS angstrom
4.5451 0.0000 0.0000
0.0000 4.5451 0.0000
0.0000 0.0000 4.5451
ATOMIC_POSITIONS crystal
C 0.0000 0.5000 0.0000
C 0.0000 0.0000 0.5000
C 0.5000 0.0000 0.0000
S 0.5000 0.5000 0.5000
Bi 0.0000 0.0000 0.0000
```

=====

Short version: #1 is the most stable of them.

=====

#1
First-principles (PBE) data for a relaxed structure of BiSb3C, as listed in Alexandria. Values from VASP.

Computed properties:
**Crystal system**: cubic
**Mass density**: 4749 kg/m³
**SG**: Pm-3m

Cell and atoms, written as Quantum ESPRESSO input:
```
&SYSTEM
  ibrav = 0, nat = 5, ntyp = 3
/
ATOMIC_SPECIES
Sb 121.76 Sb.upf
C 12.01 C.upf
Bi 208.98 Bi.upf
CELL_PARAMETERS angstrom
-2.1878 1.9864 -5.1024
1.6939 -4.9796 -2.6648
-5.2068 -2.4546 1.2771
ATOMIC_POSITIONS crystal
Sb 0.0000 0.5000 0.0000
Sb 0.0000 0.0000 0.5000
Sb 0.5000 0.0000 0.0000
C 0.5000 0.5000 0.5000
Bi 0.0000 0.0000 0.0000
```

=====

#2
First-principles (PBE) data for a relaxed structure of BiSb3C, as listed in Alexandria. Values from VASP.

Computed properties:
**Crystal system**: cubic
**Mass density**: 8246 kg/m³
**SG**: Pm-3m

Cell and atoms, written as Quantum ESPRESSO input:
```
&SYSTEM
  ibrav = 0, nat = 5, ntyp = 3
/
ATOMIC_SPECIES
Sb 121.76 Sb.upf
C 12.01 C.upf
Bi 208.98 Bi.upf
CELL_PARAMETERS angstrom
-1.3575 -4.6993 -0.3729
3.7841 -1.3177 2.8302
-2.8113 0.4956 3.9895
ATOMIC_POSITIONS crystal
Sb 0.0000 0.5000 0.0000
Sb 0.0000 0.0000 0.5000
Sb 0.5000 0.0000 0.0000
C 0.0000 0.0000 0.0000
Bi 0.5000 0.5000 0.5000
```

=====

Short version: #2 is the most stable of them.

=====

#1
First-principles (PBE) data for a relaxed structure of BiSb2C2, as listed in Alexandria. Values from VASP.

Computed properties:
**Crystal system**: tetragonal
**Mass density**: 6719 kg/m³
**SG**: P4/mbm

Cell and atoms, written as Quantum ESPRESSO input:
```
&SYSTEM
  ibrav = 0, nat = 10, ntyp = 3
/
ATOMIC_SPECIES
Sb 121.76 Sb.upf
C 12.01 C.upf
Bi 208.98 Bi.upf
CELL_PARAMETERS angstrom
8.5512 0.0000 0.0000
0.0000 8.5512 0.0000
0.0000 0.0000 3.2209
ATOMIC_POSITIONS crystal
Sb 0.3327 0.8327 0.0000
Sb 0.8327 0.6673 0.0000
Sb 0.6673 0.1673 0.0000
Sb 0.1673 0.3327 0.0000
C 0.0545 0.5545 0.5000
C 0.5545 0.9455 0.5000
C 0.9455 0.4455 0.5000
C 0.4455 0.0545 0.5000
Bi 0.0000 0.0000 0.0000
Bi 0.5000 0.5000 0.0000
```

=====

#2
First-principles (PBE) data for a relaxed structure of BiSb2C2, as listed in Alexandria. Values from VASP.

Computed properties:
**Crystal system**: tetragonal
**Mass density**: 7480 kg/m³
**SG**: I4/mmm

Cell and atoms, written as Quantum ESPRESSO input:
```
&SYSTEM
  ibrav = 0, nat = 5, ntyp = 3
/
ATOMIC_SPECIES
Sb 121.76 Sb.upf
C 12.01 C.upf
Bi 208.98 Bi.upf
CELL_PARAMETERS angstrom
-3.6463 -1.1408 0.0392
1.1319 -3.5967 0.6172
-1.5367 -1.2296 7.4792
ATOMIC_POSITIONS crystal
Sb 0.3348 0.3348 0.3305
Sb 0.6652 0.6652 0.6695
C 0.7500 0.2500 0.5000
C 0.2500 0.7500 0.5000
Bi 0.0000 0.0000 0.0000
```

=====

Short version: #1 is the most stable of them.

=====

#1
First-principles (PBE) data for a relaxed structure of BiSbC2, as listed in Alexandria. Values from VASP.

Computed properties:
**Crystal system**: cubic
**Mass density**: 9093 kg/m³
**SG**: Fm-3m

Cell and atoms, written as Quantum ESPRESSO input:
```
&SYSTEM
  ibrav = 0, nat = 4, ntyp = 3
/
ATOMIC_SPECIES
Sb 121.76 Sb.upf
C 12.01 C.upf
Bi 208.98 Bi.upf
CELL_PARAMETERS angstrom
-3.2009 -2.8558 -1.3863
-4.0681 0.0589 1.9417
-3.5656 1.5470 -2.2839
ATOMIC_POSITIONS crystal
Sb 0.0000 0.0000 0.0000
C 0.2500 0.2500 0.2500
C 0.7500 0.7500 0.7500
Bi 0.5000 0.5000 0.5000
```

=====

#2
First-principles (PBE) data for a relaxed structure of BiSbC2, as listed in Alexandria. Values from VASP.

Computed properties:
**Crystal system**: tetragonal
**Mass density**: 7715 kg/m³
**SG**: I-42d

Cell and atoms, written as Quantum ESPRESSO input:
```
&SYSTEM
  ibrav = 0, nat = 8, ntyp = 3
/
ATOMIC_SPECIES
Sb 121.76 Sb.upf
C 12.01 C.upf
Bi 208.98 Bi.upf
CELL_PARAMETERS angstrom
-2.1412 -5.0511 -1.4437
4.1704 -2.5824 2.8498
-1.6577 -3.8048 4.6245
ATOMIC_POSITIONS crystal
Sb 0.5000 0.5000 0.0000
Sb 0.2500 0.7500 0.5000
C 0.5715 0.1250 0.2500
C 0.1785 0.6250 0.2500
C 0.3750 0.4285 0.7500
C 0.8750 0.8215 0.7500
Bi 0.0000 0.0000 0.0000
Bi 0.7500 0.2500 0.5000
```

=====

Short version: #2 is the most stable of them.